1.
A plane-wave DFT calculation with PBE-GGA was carried out for crystalline CaMn2Rh2 at its relaxed geometry.

The structure belongs to space group P4/mbm (No. 127); the cell edges are 7.4174, 7.4174 and 2.7152 Å and the angles 90.00°, 90.00° and 90.00°. The asymmetric unit holds Ca at (0.0000, 0.0000, 0.0000), Mn at (0.1074, 0.3926, 0.0000) and Rh at (0.1779, 0.6779, 0.5000).

The calculation puts the offset from the most stable computed form at 32 meV per atom. Its density of states at the Fermi level is 14.65 states/eV/cell. The calculation puts the energy relative to the elements at 0.0823 eV per atom.

2.
A plane-wave DFT calculation with PBE-GGA was carried out for crystalline Ac2Cu2PtO6 at its relaxed geometry.

The structure belongs to space group R-3m (No. 166, hexagonal axes); the cell edges are 5.8998, 5.8998 and 15.5455 Å and the angles 90.00°, 90.00° and 120.00°. The asymmetric unit holds Ac at (0.0000, 0.0000, 0.2213), Cu at (0.0000, 0.0000, 0.4156), Pt at (0.0000, 0.0000, 0.0000) and O at (0.0397, 0.5199, 0.7576).

The calculation puts the formation energy from raw total energies at -1.630 eV/atom.

3.
A plane-wave DFT calculation with PBE-GGA was carried out for crystalline ScFeCl at its relaxed geometry.

The structure belongs to space group Cm (No. 8); the cell edges are 11.3291, 3.5355 and 6.9629 Å and the angles 90.00°, 124.75° and 90.00°. The asymmetric unit holds Sc at (0.0000, 0.0000, 0.0000), Sc at (0.0216, 0.5000, 0.4454), Fe at (0.1958, 0.5000, 0.2999), Fe at (0.2467, 0.0000, 0.5435), Cl at (0.1074, 0.0000, 0.7601) and Cl at (0.3441, 0.5000, 0.1653).

Its density of states at the Fermi level is 5.21 states/eV/cell. The calculation puts the formation energy from raw total energies at -0.532 eV/atom.

What did the first record say?
A plane-wave DFT calculation with PBE-GGA was carried out for crystalline CaMn2Rh2 at its relaxed geometry.

The structure belongs to space group P4/mbm (No. 127); the cell edges are 7.4174, 7.4174 and 2.7152 Å and the angles 90.00°, 90.00° and 90.00°. The asymmetric unit holds Ca at (0.0000, 0.0000, 0.0000), Mn at (0.1074, 0.3926, 0.0000) and Rh at (0.1779, 0.6779, 0.5000).

The calculation puts the offset from the most stable computed form at 32 meV per atom. Its density of states at the Fermi level is 14.65 states/eV/cell. The calculation puts the energy relative to the elements at 0.0823 eV per atom.